1.
First-principles (GGA-PBE) data for crystalline LiZr2Pt9 at its relaxed geometry, as listed in Alexandria via LeMat-Bulk. Values from VASP.

The structure in Quantum ESPRESSO input format:
```
&SYSTEM
  ibrav = 0, nat = 12, ntyp = 3
/
ATOMIC_SPECIES
Li 6.94 Li.upf
Zr 91.22 Zr.upf
Pt 195.08 Pt.upf
ATOMIC_POSITIONS crystal
Li 0.000 0.000 0.000
Zr 0.000 0.000 0.324
Zr 0.000 0.000 0.676
Pt 0.500 0.500 0.000
Pt 0.500 0.500 0.331
Pt 0.500 0.500 0.669
Pt 0.500 0.000 0.159
Pt 0.500 0.000 0.500
Pt 0.500 0.000 0.841
Pt 0.000 0.500 0.159
Pt 0.000 0.500 0.500
Pt 0.000 0.500 0.841
CELL_PARAMETERS angstrom
4.013 0.000 0.000
0.000 4.013 0.000
0.000 0.000 11.907
```

DFT formation energy: -81 kJ per mole of atoms
Size of the total moment: 0.000 μB/f.u.

2.
First-principles (GGA-PBE) data for crystalline Tb6CePr2 at its relaxed geometry, as listed in Alexandria via LeMat-Bulk. Values from VASP.

The structure in Quantum ESPRESSO input format:
```
&SYSTEM
  ibrav = 0, nat = 9, ntyp = 3
/
ATOMIC_SPECIES
Tb 158.93 Tb.upf
Ce 140.12 Ce.upf
Pr 140.91 Pr.upf
ATOMIC_POSITIONS crystal
Tb 0.231 0.652 0.673
Tb 0.231 0.021 0.348
Tb 0.231 0.327 0.979
Tb 0.769 0.348 0.327
Tb 0.769 0.979 0.652
Tb 0.769 0.673 0.021
Ce 0.500 0.000 0.000
Pr 0.263 0.667 0.333
Pr 0.737 0.333 0.667
CELL_PARAMETERS angstrom
3.546 0.000 0.000
0.000 8.522 -4.920
0.000 0.000 9.841
```

DFT formation energy: 10 kJ per mole of atoms
E above lowest polymorph: 0.0 kJ per mole of atoms
Size of the total moment: 1.829 μB/f.u.

3.
First-principles (GGA-PBE) data for crystalline VCoSi2 at its relaxed geometry, as listed in Alexandria via LeMat-Bulk. Values from VASP.

The structure in Quantum ESPRESSO input format:
```
&SYSTEM
  ibrav = 0, nat = 8, ntyp = 3
/
ATOMIC_SPECIES
Si 28.09 Si.upf
Co 58.93 Co.upf
V 50.94 V.upf
ATOMIC_POSITIONS crystal
Si 0.639 0.125 0.250
Si 0.111 0.625 0.250
Si 0.375 0.361 0.750
Si 0.875 0.889 0.750
Co 0.000 0.000 0.000
Co 0.750 0.250 0.500
V 0.500 0.500 0.000
V 0.250 0.750 0.500
CELL_PARAMETERS angstrom
3.623 0.000 0.000
0.000 3.623 0.000
1.811 1.811 8.291
```

Formation energy (no corrections): 96 meV/atom
Size of the total moment: 1.073 μB/f.u.

4.
First-principles (GGA-PBE) data for crystalline La2NdSmEr5 at its relaxed geometry, as listed in Alexandria via LeMat-Bulk. Values from VASP.

The structure in Quantum ESPRESSO input format:
```
&SYSTEM
  ibrav = 0, nat = 18, ntyp = 4
/
ATOMIC_SPECIES
La 138.91 La.upf
Nd 144.24 Nd.upf
Sm 150.36 Sm.upf
Er 167.26 Er.upf
ATOMIC_POSITIONS crystal
La 0.118 0.382 0.000
La 0.618 0.118 0.000
La 0.382 0.882 0.000
La 0.882 0.618 0.000
Nd 0.250 0.750 0.500
Nd 0.750 0.250 0.500
Sm 0.250 0.250 0.500
Sm 0.750 0.750 0.500
Er 0.927 0.427 0.281
Er 0.646 0.146 0.719
Er 0.073 0.573 0.719
Er 0.146 0.073 0.719
Er 0.573 0.646 0.719
Er 0.854 0.927 0.281
Er 0.427 0.354 0.281
Er 0.354 0.854 0.281
Er 0.500 0.500 0.000
Er 0.000 0.000 0.000
CELL_PARAMETERS angstrom
8.664 0.000 0.000
0.000 8.664 0.000
-4.332 -4.332 7.886
```

DFT formation energy: 24 kJ per mole of atoms
Size of the total moment: 0.001 μB/f.u.

5.
First-principles (GGA-PBE) data for crystalline Dy2ThSc2 at its relaxed geometry, as listed in Alexandria via LeMat-Bulk. Values from VASP.

The structure in Quantum ESPRESSO input format:
```
&SYSTEM
  ibrav = 0, nat = 10, ntyp = 3
/
ATOMIC_SPECIES
Dy 162.50 Dy.upf
Th 232.04 Th.upf
Sc 44.96 Sc.upf
ATOMIC_POSITIONS crystal
Dy 0.955 0.869 0.910
Dy 0.847 0.399 0.694
Dy 0.153 0.899 0.306
Dy 0.045 0.369 0.090
Th 0.352 0.959 0.705
Th 0.648 0.459 0.295
Sc 0.454 0.476 0.908
Sc 0.749 0.932 0.499
Sc 0.251 0.432 0.501
Sc 0.546 0.976 0.092
CELL_PARAMETERS angstrom
5.288 0.000 -1.671
0.000 5.678 0.000
0.115 0.000 9.563
```

DFT formation energy: 8 kJ per mole of atoms
E above lowest polymorph: 2.4 kJ per mole of atoms
Size of the total moment: 0.000 μB/f.u.

6.
First-principles (GGA-PBE) data for crystalline Pa3CoRu at its relaxed geometry, as listed in Alexandria via LeMat-Bulk. Values from VASP.

The structure in Quantum ESPRESSO input format:
```
&SYSTEM
  ibrav = 0, nat = 10, ntyp = 3
/
ATOMIC_SPECIES
Pa 231.04 Pa.upf
Co 58.93 Co.upf
Ru 101.07 Ru.upf
ATOMIC_POSITIONS crystal
Pa 0.990 0.210 0.980
Pa 0.010 0.790 0.020
Pa 0.362 0.950 0.724
Pa 0.638 0.050 0.276
Pa 0.188 0.569 0.377
Pa 0.812 0.431 0.623
Co 0.767 0.873 0.534
Co 0.233 0.127 0.466
Ru 0.576 0.504 0.153
Ru 0.424 0.496 0.847
CELL_PARAMETERS angstrom
3.420 0.000 -0.610
-0.205 6.229 -1.150
-0.016 -0.565 9.805
```

DFT formation energy: -30 kJ per mole of atoms
Size of the total moment: 0.000 μB/f.u.

7.
First-principles (GGA-PBE) data for crystalline SrPOs at its relaxed geometry, as listed in Alexandria via LeMat-Bulk. Values from VASP.

The structure in Quantum ESPRESSO input format:
```
&SYSTEM
  ibrav = 0, nat = 3, ntyp = 3
/
ATOMIC_SPECIES
Sr 87.62 Sr.upf
P 30.97 P.upf
Os 190.23 Os.upf
ATOMIC_POSITIONS crystal
Sr 0.333 0.667 0.500
P 0.667 0.333 0.000
Os 0.000 0.000 0.000
CELL_PARAMETERS angstrom
-2.173 1.382 3.028
-1.547 -0.130 -3.660
-1.657 -4.489 0.860
```

DFT formation energy: -42 kJ per mole of atoms
Size of the total moment: 0.000 μB/f.u.

8.
First-principles (GGA-PBE) data for crystalline Dy4HoTm6 at its relaxed geometry, as listed in Alexandria via LeMat-Bulk. Values from VASP.

The structure in Quantum ESPRESSO input format:
```
&SYSTEM
  ibrav = 0, nat = 22, ntyp = 3
/
ATOMIC_SPECIES
Dy 162.50 Dy.upf
Ho 164.93 Ho.upf
Tm 168.93 Tm.upf
ATOMIC_POSITIONS crystal
Dy 0.835 0.671 0.542
Dy 0.493 0.986 0.122
Dy 0.165 0.329 0.458
Dy 0.507 0.014 0.878
Dy 0.835 0.671 0.958
Dy 0.165 0.329 0.042
Dy 0.507 0.014 0.622
Dy 0.493 0.986 0.378
Ho 0.829 0.657 0.250
Ho 0.171 0.343 0.750
Tm 0.500 0.000 0.000
Tm 0.500 0.000 0.500
Tm 0.161 0.322 0.318
Tm 0.839 0.678 0.682
Tm 0.839 0.678 0.818
Tm 0.161 0.322 0.182
Tm 0.828 0.655 0.396
Tm 0.172 0.345 0.604
Tm 0.172 0.345 0.896
Tm 0.828 0.655 0.104
Tm 0.495 0.990 0.250
Tm 0.505 0.010 0.750
CELL_PARAMETERS angstrom
-1.643 3.000 4.386
-2.453 -4.830 -1.142
16.921 -12.038 14.571
```

DFT formation energy: 12 kJ per mole of atoms
E above lowest polymorph: 0.0 kJ per mole of atoms
Size of the total moment: 0.000 μB/f.u.

9.
First-principles (GGA-PBE) data for crystalline Ca2CoOs at its relaxed geometry, as listed in Alexandria via LeMat-Bulk. Values from VASP.

The structure in Quantum ESPRESSO input format:
```
&SYSTEM
  ibrav = 0, nat = 4, ntyp = 3
/
ATOMIC_SPECIES
Co 58.93 Co.upf
Ca 40.08 Ca.upf
Os 190.23 Os.upf
ATOMIC_POSITIONS crystal
Co 0.750 0.250 0.500
Ca 0.000 0.000 0.000
Ca 0.500 0.500 0.000
Os 0.250 0.750 0.500
CELL_PARAMETERS angstrom
-3.848 0.996 -3.367
1.836 -0.683 -4.826
0.164 -3.088 4.191
```

DFT formation energy: 66 kJ per mole of atoms
E above lowest polymorph: 53.4 kJ per mole of atoms
Size of the total moment: 2.028 μB/f.u.

10.
First-principles (GGA-PBE) data for crystalline Zn2CoC at its relaxed geometry, as listed in Alexandria via LeMat-Bulk. Values from VASP.

The structure in Quantum ESPRESSO input format:
```
&SYSTEM
  ibrav = 0, nat = 8, ntyp = 3
/
ATOMIC_SPECIES
Zn 65.41 Zn.upf
Co 58.93 Co.upf
C 12.01 C.upf
ATOMIC_POSITIONS crystal
Zn 0.483 0.125 0.250
Zn 0.267 0.625 0.250
Zn 0.375 0.517 0.750
Zn 0.875 0.733 0.750
Co 0.000 0.000 0.000
Co 0.750 0.250 0.500
C 0.500 0.500 0.000
C 0.250 0.750 0.500
CELL_PARAMETERS angstrom
-3.838 4.198 -5.106
-6.469 -1.172 3.899
-4.829 3.015 0.387
```

DFT formation energy: 52 kJ per mole of atoms
Size of the total moment: 0.000 μB/f.u.

11.
First-principles (GGA-PBE) data for crystalline NaAcS2O8 at its relaxed geometry, as listed in Alexandria via LeMat-Bulk. Values from VASP.

The structure in Quantum ESPRESSO input format:
```
&SYSTEM
  ibrav = 0, nat = 12, ntyp = 4
/
ATOMIC_SPECIES
Na 22.99 Na.upf
Ac 227.00 Ac.upf
S 32.06 S.upf
O 16.00 O.upf
ATOMIC_POSITIONS crystal
Na 0.000 0.000 0.000
Ac 0.000 0.000 0.500
S 0.667 0.333 0.201
S 0.333 0.667 0.799
O 0.333 0.667 0.995
O 0.378 0.190 0.276
O 0.810 0.188 0.276
O 0.667 0.333 0.005
O 0.190 0.812 0.724
O 0.622 0.810 0.724
O 0.188 0.378 0.724
O 0.812 0.622 0.276
CELL_PARAMETERS angstrom
5.602 0.000 0.000
-2.801 4.852 0.000
0.000 0.000 7.399
```

Formation energy (no corrections): -2013 meV/atom
Size of the total moment: 0.000 μB/f.u.

12.
First-principles (GGA-PBE) data for crystalline Tb4AgTeSe2 at its relaxed geometry, as listed in Alexandria via LeMat-Bulk. Values from VASP.

The structure in Quantum ESPRESSO input format:
```
&SYSTEM
  ibrav = 0, nat = 8, ntyp = 4
/
ATOMIC_SPECIES
Tb 158.93 Tb.upf
Ag 107.87 Ag.upf
Te 127.60 Te.upf
Se 78.96 Se.upf
ATOMIC_POSITIONS crystal
Tb 0.000 0.771 0.736
Tb 0.000 0.229 0.264
Tb 0.500 0.762 0.252
Tb 0.500 0.238 0.748
Ag 0.000 0.500 0.500
Te 0.500 0.500 0.000
Se 0.000 0.000 0.000
Se 0.500 0.000 0.500
CELL_PARAMETERS angstrom
-3.345 2.178 -0.856
0.467 -2.095 -7.155
-3.785 -6.115 -0.767
```

Formation energy (no corrections): -1257 meV/atom
Size of the total moment: 0.000 μB/f.u.

13.
First-principles (GGA-PBE) data for crystalline NbCrN3 at its relaxed geometry, as listed in Alexandria via LeMat-Bulk. Values from VASP.

The structure in Quantum ESPRESSO input format:
```
&SYSTEM
  ibrav = 0, nat = 10, ntyp = 3
/
ATOMIC_SPECIES
Nb 92.91 Nb.upf
Cr 52.00 Cr.upf
N 14.01 N.upf
ATOMIC_POSITIONS crystal
Nb 0.000 0.500 0.620
Nb 0.500 0.000 0.380
Cr 0.000 0.500 0.089
Cr 0.500 0.000 0.911
N 0.000 0.500 0.270
N 0.500 0.000 0.730
N 0.500 0.500 0.000
N 0.000 0.000 0.000
N 0.000 0.000 0.500
N 0.500 0.500 0.500
CELL_PARAMETERS angstrom
3.454 0.000 0.000
0.000 3.454 0.000
0.000 0.000 9.493
```

Formation energy (no corrections): -183 meV/atom
Size of the total moment: 0.783 μB/f.u.

14.
First-principles (GGA-PBE) data for crystalline Sr2PmPt at its relaxed geometry, as listed in Alexandria via LeMat-Bulk. Values from VASP.

The structure in Quantum ESPRESSO input format:
```
&SYSTEM
  ibrav = 0, nat = 4, ntyp = 3
/
ATOMIC_SPECIES
Sr 87.62 Sr.upf
Pt 195.08 Pt.upf
Pm 145.00 Pm.upf
ATOMIC_POSITIONS crystal
Sr 0.112 0.112 0.665
Sr 0.888 0.888 0.335
Pt 0.500 0.500 0.500
Pm 0.000 0.000 0.000
CELL_PARAMETERS angstrom
-3.200 2.122 -1.021
-2.761 0.867 2.723
3.520 10.527 3.115
```

DFT formation energy: -14 kJ per mole of atoms
Size of the total moment: 0.274 μB/f.u.

15.
First-principles (GGA-PBE) data for crystalline SrRe2Tc at its relaxed geometry, as listed in Alexandria via LeMat-Bulk. Values from VASP.

The structure in Quantum ESPRESSO input format:
```
&SYSTEM
  ibrav = 0, nat = 4, ntyp = 3
/
ATOMIC_SPECIES
Re 186.21 Re.upf
Sr 87.62 Sr.upf
Tc 98.00 Tc.upf
ATOMIC_POSITIONS crystal
Re 0.999 0.999 0.000
Re 0.789 0.289 0.500
Sr 0.499 0.499 0.000
Tc 0.213 0.713 0.500
CELL_PARAMETERS angstrom
5.689 0.005 -0.002
2.544 5.088 0.002
-3.353 -3.780 2.613
```

DFT formation energy: 86 kJ per mole of atoms
E above lowest polymorph: 23.1 kJ per mole of atoms
Size of the total moment: 0.000 μB/f.u.

16.
First-principles (GGA-PBE) data for crystalline Sr2AlGaCu2O7 at its relaxed geometry, as listed in Alexandria via LeMat-Bulk. Values from VASP.

The structure in Quantum ESPRESSO input format:
```
&SYSTEM
  ibrav = 0, nat = 26, ntyp = 5
/
ATOMIC_SPECIES
Sr 87.62 Sr.upf
Al 26.98 Al.upf
Ga 69.72 Ga.upf
Cu 63.55 Cu.upf
O 16.00 O.upf
ATOMIC_POSITIONS crystal
Sr 0.135 0.666 0.846
Sr 0.866 0.335 0.146
Sr 0.666 0.135 0.346
Sr 0.335 0.866 0.646
Al 0.500 0.000 0.504
Al 0.000 0.500 0.004
Ga 0.681 0.319 0.706
Ga 0.319 0.681 0.206
Cu 0.941 0.443 0.563
Cu 0.557 0.060 0.947
Cu 0.443 0.941 0.063
Cu 0.060 0.557 0.447
O 0.732 0.876 0.629
O 0.644 0.357 0.347
O 0.876 0.732 0.129
O 0.291 0.860 0.193
O 0.769 0.622 0.884
O 0.622 0.769 0.384
O 0.357 0.644 0.847
O 0.124 0.268 0.236
O 0.268 0.124 0.736
O 0.860 0.291 0.693
O 0.710 0.140 0.844
O 0.140 0.710 0.344
O 0.231 0.379 0.774
O 0.379 0.231 0.274
CELL_PARAMETERS angstrom
12.175 0.000 0.020
10.975 5.271 0.020
1.146 0.261 5.170
```

Formation energy (no corrections): -1966 meV/atom
Size of the total moment: 0.000 μB/f.u.

17.
First-principles (GGA-PBE) data for crystalline Cd2In2Cu at its relaxed geometry, as listed in Alexandria via LeMat-Bulk. Values from VASP.

The structure in Quantum ESPRESSO input format:
```
&SYSTEM
  ibrav = 0, nat = 10, ntyp = 3
/
ATOMIC_SPECIES
Cd 112.41 Cd.upf
Cu 63.55 Cu.upf
In 114.82 In.upf
ATOMIC_POSITIONS crystal
Cd 0.347 0.847 0.000
Cd 0.847 0.653 0.000
Cd 0.653 0.153 0.000
Cd 0.153 0.347 0.000
Cu 0.000 0.000 0.000
Cu 0.500 0.500 0.000
In 0.168 0.668 0.500
In 0.668 0.832 0.500
In 0.832 0.332 0.500
In 0.332 0.168 0.500
CELL_PARAMETERS angstrom
-6.556 -1.818 -1.627
-1.413 -0.973 6.782
-1.402 4.713 0.384
```

DFT formation energy: 18 kJ per mole of atoms
E above lowest polymorph: 13.5 kJ per mole of atoms
Size of the total moment: 0.000 μB/f.u.

18.
First-principles (GGA-PBE) data for crystalline Ce2TlGaIr at its relaxed geometry, as listed in Alexandria via LeMat-Bulk. Values from VASP.

The structure in Quantum ESPRESSO input format:
```
&SYSTEM
  ibrav = 0, nat = 10, ntyp = 4
/
ATOMIC_SPECIES
Ce 140.12 Ce.upf
Tl 204.38 Tl.upf
Ga 69.72 Ga.upf
Ir 192.22 Ir.upf
ATOMIC_POSITIONS crystal
Ce 0.750 0.873 0.671
Ce 0.750 0.706 0.034
Ce 0.250 0.127 0.329
Ce 0.250 0.294 0.966
Tl 0.250 0.688 0.348
Tl 0.750 0.312 0.652
Ga 0.250 0.557 0.682
Ga 0.750 0.443 0.318
Ir 0.250 0.880 0.913
Ir 0.750 0.120 0.087
CELL_PARAMETERS angstrom
-0.323 -3.801 2.249
5.604 -2.848 -4.009
3.079 3.502 6.361
```

DFT formation energy: -48 kJ per mole of atoms
Size of the total moment: 1.395 μB/f.u.

19.
First-principles (GGA-PBE) data for crystalline CePaTiN4 at its relaxed geometry, as listed in Alexandria via LeMat-Bulk. Values from VASP.

The structure in Quantum ESPRESSO input format:
```
&SYSTEM
  ibrav = 0, nat = 14, ntyp = 4
/
ATOMIC_SPECIES
Ce 140.12 Ce.upf
Pa 231.04 Pa.upf
Ti 47.87 Ti.upf
N 14.01 N.upf
ATOMIC_POSITIONS crystal
Ce 0.605 0.750 0.210
Ce 0.395 0.250 0.790
Pa 0.112 0.250 0.224
Pa 0.888 0.750 0.776
Ti 0.255 0.750 0.511
Ti 0.745 0.250 0.489
N 0.936 0.250 0.873
N 0.424 0.750 0.847
N 0.064 0.750 0.127
N 0.576 0.250 0.153
N 0.500 0.500 0.500
N 0.000 0.000 0.500
N 0.500 0.000 0.500
N 0.000 0.500 0.500
CELL_PARAMETERS angstrom
-5.284 -0.394 1.538
0.594 -5.449 0.643
4.258 1.055 5.004
```

Formation energy (no corrections): -1449 meV/atom
Size of the total moment: 0.553 μB/f.u.

20.
First-principles (GGA-PBE) data for crystalline Be2CrIr at its relaxed geometry, as listed in Alexandria via LeMat-Bulk. Values from VASP.

The structure in Quantum ESPRESSO input format:
```
&SYSTEM
  ibrav = 0, nat = 4, ntyp = 3
/
ATOMIC_SPECIES
Cr 52.00 Cr.upf
Ir 192.22 Ir.upf
Be 9.01 Be.upf
ATOMIC_POSITIONS crystal
Cr 0.500 0.000 0.500
Ir 0.000 0.500 0.500
Be 0.000 0.000 0.000
Be 0.500 0.500 0.000
CELL_PARAMETERS angstrom
3.892 0.000 0.000
0.000 3.892 0.000
0.000 0.000 2.860
```

DFT formation energy: -19 kJ per mole of atoms
Size of the total moment: 2.734 μB/f.u.